Record 1
TcNi3Pd12: optimized geometry, PBE.

Values from the calculation:
uncorrected energy = -5.573 eV per atom
DFT formation energy = 0.05 eV per atom
symmetry = No. 123

Cell and atoms, written as POSCAR:
```
TcNi3Pd12
1.0
3.8901 0.0000 0.0000
0.0000 3.8901 0.0000
0.0000 0.0000 15.4958
Tc Ni Pd
1 3 12
direct
0.0000 0.0000 0.0000
0.0000 0.0000 0.2544
0.0000 0.0000 0.5000
0.0000 0.0000 0.7456
0.0000 0.5000 0.1257
0.0000 0.5000 0.3763
0.0000 0.5000 0.6237
0.0000 0.5000 0.8743
0.5000 0.0000 0.1257
0.5000 0.0000 0.3763
0.5000 0.0000 0.6237
0.5000 0.0000 0.8743
0.5000 0.5000 0.0000
0.5000 0.5000 0.2516
0.5000 0.5000 0.5000
0.5000 0.5000 0.7484
```

Record 2
LaTeAs: optimized geometry, PBE.

Values from the calculation:
E_form (uncorrected) = -0.708 eV per atom
uncorrected energy = -4.947 eV per atom
symmetry = No. 216

Cell and atoms, written as POSCAR:
```
LaTeAs
1.0
0.0000 3.6888 3.6888
3.6888 0.0000 3.6888
3.6888 3.6888 0.0000
La Te As
1 1 1
direct
0.0000 0.0000 0.0000
0.2500 0.2500 0.2500
0.7500 0.7500 0.7500
```